a.
Here is a geometry-optimized Tb5HoEr2 structure from Alexandria. Energies are from PBE-GGA.

Cell: 7.073 14.148 4.993 Å, 90.00 90.00 90.00°
Atoms (fractional coordinates):
1 Tb 0.000 0.000 0.000
2 Tb 0.000 0.250 0.000
3 Tb 0.000 0.750 0.000
4 Tb 0.250 0.125 0.500
5 Tb 0.250 0.625 0.500
6 Tb 0.500 0.250 0.000
7 Tb 0.500 0.500 0.000
8 Tb 0.500 0.750 0.000
9 Tb 0.750 0.375 0.500
10 Tb 0.750 0.875 0.500
11 Ho 0.000 0.500 0.000
12 Ho 0.500 0.000 0.000
13 Er 0.250 0.375 0.500
14 Er 0.250 0.875 0.500
15 Er 0.750 0.125 0.500
16 Er 0.750 0.625 0.500

Total magnetic moment: 0.000 μB per atom
D(E_F): 18.99 states/eV/cell
Crystal system: orthorhombic

---

b.
Here is a geometry-optimized Tb5HoEr2 structure from Alexandria. Energies are from PBE-GGA.

Cell: 8.607 8.607 11.348 Å, 90.15 90.15 38.00°
Atoms (fractional coordinates):
1 Tb 0.043 0.043 0.386
2 Tb 0.047 0.047 0.111
3 Tb 0.394 0.394 0.750
4 Tb 0.411 0.411 0.422
5 Tb 0.412 0.412 0.082
6 Tb 0.588 0.588 0.918
7 Tb 0.589 0.589 0.578
8 Tb 0.606 0.606 0.250
9 Tb 0.953 0.953 0.889
10 Tb 0.957 0.957 0.614
11 Ho 0.228 0.228 0.251
12 Ho 0.772 0.772 0.749
13 Er 0.213 0.213 0.580
14 Er 0.214 0.214 0.920
15 Er 0.786 0.786 0.080
16 Er 0.787 0.787 0.420

Total magnetic moment: 0.000 μB per atom
D(E_F): 24.62 states/eV/cell
Crystal system: monoclinic

---

Least stable structure: b

---

a.
Here is a geometry-optimized Tb3HoEr2 structure from Alexandria. Energies are from PBE-GGA.

Cell: 7.118 7.120 8.754 Å, 90.05 101.71 119.97°
Atoms (fractional coordinates):
1 Tb 0.000 0.250 0.001
2 Tb 0.000 0.750 0.999
3 Tb 0.222 0.361 0.666
4 Tb 0.278 0.639 0.335
5 Tb 0.722 0.361 0.665
6 Tb 0.778 0.639 0.334
7 Ho 0.500 0.250 0.001
8 Ho 0.500 0.750 0.999
9 Er 0.223 0.862 0.667
10 Er 0.278 0.138 0.334
11 Er 0.722 0.862 0.666
12 Er 0.777 0.138 0.333

Total magnetic moment: 0.000 μB per atom
D(E_F): 14.49 states/eV/cell
Crystal system: triclinic

---

b.
Here is a geometry-optimized Tb3HoEr2 structure from Alexandria. Energies are from PBE-GGA.

Cell: 8.876 8.876 9.623 Å, 122.78 122.78 36.73°
Atoms (fractional coordinates):
1 Tb 0.000 0.000 0.167
2 Tb 0.000 0.000 0.833
3 Tb 0.251 0.251 0.080
4 Tb 0.375 0.375 0.872
5 Tb 0.625 0.625 0.128
6 Tb 0.749 0.749 0.920
7 Ho 0.125 0.125 0.622
8 Ho 0.875 0.875 0.378
9 Er 0.250 0.250 0.414
10 Er 0.500 0.500 0.334
11 Er 0.500 0.500 0.666
12 Er 0.750 0.750 0.586

Total magnetic moment: 0.000 μB per atom
D(E_F): 20.86 states/eV/cell
Crystal system: monoclinic

---

Least stable structure: b